Below is a geometry-optimized RbTiFe2F structure, with properties calculated at the PBE+U level.

**Volume**: 115.2 Å³/cell
**E_tot**: -3.916 eV per atom

Lattice parameters (Å, degrees): 4.8221 4.8221 4.9564 90.00 90.00 90.00
Space group P4/mmm (No. 123)
Asymmetric unit:
Rb: 0.0000 0.0000 0.0000 x1
Ti: 0.5000 0.5000 0.0000 x1
Fe: 0.0000 0.5000 0.5000 x2
F: 0.0000 0.0000 0.5000 x1